Compound: Ac3B2SbRh9
Source: the Alexandria database
Functional: PBE
Structure: optimized geometry

Raw total energy (eV per atom): -6.981
Formation energy without anion corrections (meV/atom): -584

a b c (Å): 6.3042 6.3042 8.0421
angles (deg): 90.00 90.00 120.00
Closest atoms and distances in Å follow each position.
Space group P-3m1 (No. 164)
Inequivalent atoms, fractional coordinates:
Ac 0.0000 0.0000 0.0000  12 Rh 3.11-3.15
Ac 0.3333 0.6667 0.6640  12 Rh 3.17-3.38
B 0.3333 0.6667 0.1345  6 Rh 2.11-2.12
Sb 0.0000 0.0000 0.5000  6 Rh 2.57
Rh 0.0000 0.5000 0.0000  2 B 2.12
Rh 0.1817 0.3634 0.2974  1 B 2.11

Compound: AcSiBRh6
Source: the Alexandria database
Functional: PBE
Structure: optimized geometry

Raw total energy (eV per atom): -6.938
Formation energy without anion corrections (meV/atom): -236

a b c (Å): 6.6382 8.3550 11.1351
angles (deg): 90.00 90.00 90.00
Closest atoms and distances in Å follow each position.
Space group Imma (No. 74)
Inequivalent atoms, fractional coordinates:
Ac 0.0000 0.2500 0.1672  5 Rh 2.95-3.01
Si 0.2500 0.2500 0.7500  6 Rh 2.33-2.38
B 0.0000 0.0000 0.5000  6 Rh 2.04-2.10
Rh 0.0000 0.2500 0.4794  2 B 2.10
Rh 0.0000 0.2500 0.8965  2 Si 2.33
Rh 0.2195 0.0191 0.6268  1 B 2.04

Compound: Ac2Si2BRh2
Source: the Alexandria database
Functional: PBE
Structure: optimized geometry

Raw total energy (eV per atom): -6.534
Formation energy without anion corrections (meV/atom): -757

a b c (Å): 11.6158 4.2637 7.4756
angles (deg): 90.00 127.26 90.00
Closest atoms and distances in Å follow each position.
Space group C2/m (No. 12)
Inequivalent atoms, fractional coordinates:
Ac 0.0626 0.0000 0.3185  2 B 2.94, 1 Si 3.20
Si 0.1899 0.5000 0.7475  3 Rh 2.43
B 0.0000 0.5000 0.0000  2 Rh 1.97
Rh 0.1952 0.5000 0.0772  1 B 1.97

Compound: AcSiBRh3
Source: the Alexandria database
Functional: PBE
Structure: optimized geometry

Raw total energy (eV per atom): -7.148
Formation energy without anion corrections (meV/atom): -771

a b c (Å): 5.8443 12.2259 5.8510
angles (deg): 90.00 90.00 90.00
Closest atoms and distances in Å follow each position.
Space group Cmcm (No. 63)
Inequivalent atoms, fractional coordinates:
Ac 0.0000 0.2458 0.2500  4 Rh 2.97-3.00
Si 0.0000 0.1041 0.7500  5 Rh 2.37-2.44
B 0.0000 0.4692 0.7500  5 Rh 2.09
Rh 0.0000 0.2984 0.7500  1 B 2.09
Rh 0.2467 0.5000 0.0000  2 B 2.09

Compound: Ac2TlBRh6
Source: the Alexandria database
Functional: PBE
Structure: optimized geometry

Raw total energy (eV per atom): -6.541
Energy of formation from the pure elements (eV/atom): -0.405

a b c (Å): 5.8882 8.7881 7.5634
angles (deg): 90.00 90.00 90.00
Closest atoms and distances in Å follow each position.
Space group Pmmn (No. 59, origin choice 2)
Inequivalent atoms, fractional coordinates:
Ac 0.2500 0.0261 0.2143  7 Rh 2.96-3.30
Tl 0.2500 0.7500 0.8352  6 Rh 2.70-2.81
B 0.2500 0.2500 0.6667  6 Rh 2.08-2.12
Rh 0.0140 0.2500 0.8722  1 B 2.08
Rh 0.0229 0.7500 0.5080  1 B 2.08
Rh 0.2500 0.0118 0.6244  1 B 2.12

Compound: Ac4TlB3Rh12
Source: the Alexandria database
Functional: PBE
Structure: optimized geometry

Raw total energy (eV per atom): -6.800
Energy of formation from the pure elements (eV/atom): -0.448

a b c (Å): 9.0130 9.0130 9.0130
angles (deg): 90.00 90.00 90.00
Closest atoms and distances in Å follow each position.
Space group Im-3m (No. 229)
Inequivalent atoms, fractional coordinates:
Ac 0.2500 0.2500 0.2500  12 Rh 3.19-3.20
Tl 0.0000 0.0000 0.0000  6 Rh 2.57
B 0.0000 0.0000 0.5000  2 Rh 1.93
Rh 0.0000 0.0000 0.2857  1 B 1.93
Rh 0.0000 0.2500 0.5000  2 B 2.25

Question: Which formula does entry 4 have?
Answer: AcSiBRh3

Question: What is the raw total energy in the third record?
Answer: -6.534 eV per atom